# Ba12TlPt5

Crystalline Ba12TlPt5 at its relaxed geometry (GGA-PBE, the Alexandria database).

Total moment   0.0 μB per formula unit
Calculated formation energy   -0.552 eV per atom
Calculated volume   48.23 Å³ per atom
SG   No. 12

a b c (Å): 8.171 8.171 15.259
angles (deg): 95.12 95.12 120.01
Fractional coordinates of all 18 atoms:
Ba1 0.039 0.402 0.118
Ba2 0.129 0.129 0.387
Ba3 0.203 0.536 0.608
Ba4 0.324 0.324 0.882
Ba5 0.402 0.039 0.118
Ba6 0.464 0.797 0.392
Ba7 0.536 0.203 0.608
Ba8 0.598 0.961 0.882
Ba9 0.676 0.676 0.118
Ba10 0.797 0.464 0.392
Ba11 0.871 0.871 0.613
Ba12 0.961 0.598 0.882
Tl1 0.000 0.000 0.000
Pt1 0.165 0.835 0.500
Pt2 0.333 0.667 0.000
Pt3 0.500 0.500 0.500
Pt4 0.667 0.333 0.000
Pt5 0.835 0.165 0.500